1.
Compound: Zr6Pt3C
Source: Alexandria via LeMat-Bulk
Functional: PBE
Structure: optimized geometry

It has space group P2_1/c (No. 14), with a = 5.924 Å, b = 7.297 Å, c = 10.483 Å, α = 90.00°, β = 119.66° and γ = 90.00°. Symmetry generates all atoms from Zr at (0.077, 0.051, 0.235), Zr at (0.204, 0.719, 0.068), Zr at (0.377, 0.149, 0.050), Pt at (0.315, 0.104, 0.730), Pt at (0.500, 0.000, 0.500) and C at (0.000, 0.000, 0.000).

The value obtained for the formation energy is -7.2 eV per formula unit. Its size of the total moment is 0.0000 μB per atom.


2.
Compound: Zr2PtC2
Source: Alexandria via LeMat-Bulk
Functional: PBE
Structure: optimized geometry

It has space group I4/mmm (No. 139), with a = 3.474 Å, b = 3.474 Å, c = 12.723 Å, α = 90.00°, β = 90.00° and γ = 90.00°. Symmetry generates all atoms from Zr at (0.000, 0.000, 0.140), Pt at (0.000, 0.000, 0.500) and C at (0.000, 0.500, 0.250).

Its energy above the most stable polymorph in this dataset is 0.00 eV per formula unit. The value obtained for the formation energy is 0.8 eV per formula unit. Its size of the total moment is 0.0000 μB per atom.


> Which of these has the lowest formation energy?

Zr6Pt3C